Entry 1
Entry from the Alexandria database: SeNCl2 after structural relaxation (PBE-GGA).

Cell lengths 15.3150, 3.8263, 8.5256 Å; angles 90.00, 91.22, 90.00 degrees
With the nearest neighbours (Å) after each atom.
Element x y z (fractional)
Se  0.0707  0.0000  0.4815  1 Se 2.19, 1 N 2.41
Se  0.4293  0.5000  0.5185  1 Se 2.19, 1 N 2.41
Se  0.5707  0.5000  0.4815  1 Se 2.19, 1 N 2.41
Se  0.9293  0.0000  0.5185  1 Se 2.19, 1 N 2.41
N  0.1377  0.0000  0.2286  1 Cl 1.71
N  0.3623  0.5000  0.7714  1 Cl 1.71
N  0.6377  0.5000  0.2286  1 Cl 1.71
N  0.8623  0.0000  0.7714  1 Cl 1.71
Cl  0.1122  0.5000  0.1418  2 N 2.09
Cl  0.2479  0.0000  0.2669  1 N 1.71
Cl  0.2521  0.5000  0.7331  1 N 1.71
Cl  0.3878  0.0000  0.8582  2 N 2.09
Cl  0.6122  0.0000  0.1418  2 N 2.09
Cl  0.7479  0.5000  0.2669  1 N 1.71
Cl  0.7521  0.0000  0.7331  1 N 1.71
Cl  0.8878  0.5000  0.8582  2 N 2.09

* size of the total moment: 0.0 μB per cell
* volume: 499.5 Å³/cell



Entry 2
Entry from the Alexandria database: SeNCl2 after structural relaxation (PBE-GGA).

Cell lengths 6.3964, 6.3964, 9.0662 Å; angles 90.00, 90.00, 90.00 degrees
With the nearest neighbours (Å) after each atom.
Element x y z (fractional)
Se  0.0000  0.2500  0.3750  12 Cl 3.75-3.76, 4 N 3.92, 4 Se 3.92
Se  0.0000  0.7500  0.6250  12 Cl 3.75-3.76, 4 Se 3.92, 4 N 3.92
Se  0.5000  0.2500  0.1250  12 Cl 3.75-3.76, 4 Se 3.92, 4 N 3.92
Se  0.5000  0.7500  0.8750  12 Cl 3.75-3.76, 4 N 3.92, 4 Se 3.92
N  0.0000  0.2500  0.8750  4 Cl 1.96
N  0.0000  0.7500  0.1250  4 Cl 1.96
N  0.5000  0.2500  0.6250  4 Cl 1.96
N  0.5000  0.7500  0.3750  4 Cl 1.96
Cl  0.0000  0.0000  0.0000  2 N 1.96
Cl  0.0000  0.5000  0.0000  2 N 1.96
Cl  0.2500  0.2500  0.7500  2 N 1.96
Cl  0.2500  0.7500  0.2500  2 N 1.96
Cl  0.5000  0.0000  0.5000  2 N 1.96
Cl  0.5000  0.5000  0.5000  2 N 1.96
Cl  0.7500  0.2500  0.7500  2 N 1.96
Cl  0.7500  0.7500  0.2500  2 N 1.96

* size of the total moment: 6.8 μB per cell
* volume: 370.9 Å³/cell



Entry 3
Entry from the Alexandria database: SeNCl2 after structural relaxation (PBE-GGA).

Cell lengths 6.6854, 6.6854, 6.6854 Å; angles 90.00, 90.00, 90.00 degrees
With the nearest neighbours (Å) after each atom.
Element x y z (fractional)
Se  0.0000  0.0000  0.0000  8 Cl 2.89
Se  0.0000  0.5000  0.5000  8 Cl 2.89
Se  0.5000  0.0000  0.5000  8 Cl 2.89
Se  0.5000  0.5000  0.0000  8 Cl 2.89
N  0.0000  0.0000  0.5000  8 Cl 2.89
N  0.0000  0.5000  0.0000  8 Cl 2.89
N  0.5000  0.0000  0.0000  8 Cl 2.89
N  0.5000  0.5000  0.5000  8 Cl 2.89
Cl  0.2500  0.2500  0.2500  4 Se 2.89, 4 N 2.89
Cl  0.2500  0.2500  0.7500  4 Se 2.89, 4 N 2.89
Cl  0.2500  0.7500  0.2500  4 Se 2.89, 4 N 2.89
Cl  0.2500  0.7500  0.7500  4 Se 2.89, 4 N 2.89
Cl  0.7500  0.2500  0.2500  4 Se 2.89, 4 N 2.89
Cl  0.7500  0.2500  0.7500  4 Se 2.89, 4 N 2.89
Cl  0.7500  0.7500  0.2500  4 Se 2.89, 4 N 2.89
Cl  0.7500  0.7500  0.7500  4 Se 2.89, 4 N 2.89

* size of the total moment: 5.0 μB per cell
* volume: 298.8 Å³/cell



Result of the stability comparison: entry 3 is the least stable of them.



Entry 1
Entry from the Alexandria database: SeNCl2 after structural relaxation (PBE-GGA).

Cell lengths 3.4314, 3.4314, 31.7152 Å; angles 90.00, 90.00, 120.00 degrees
With the nearest neighbours (Å) after each atom.
Element x y z (fractional)
Se  0.0000  0.0000  0.0000  2 Cl 2.28
Se  0.3333  0.6667  0.6667  2 Cl 2.28
Se  0.6667  0.3333  0.3333  2 Cl 2.28
N  0.0000  0.0000  0.5000  6 N 3.43, 6 Cl 3.60
N  0.3333  0.6667  0.1667  6 N 3.43, 6 Cl 3.60
N  0.6667  0.3333  0.8333  6 N 3.43, 6 Cl 3.60
Cl  0.0000  0.0000  0.0718  1 Se 2.28
Cl  0.0000  0.0000  0.9282  1 Se 2.28
Cl  0.3333  0.6667  0.5949  1 Se 2.28
Cl  0.3333  0.6667  0.7385  1 Se 2.28
Cl  0.6667  0.3333  0.2615  1 Se 2.28
Cl  0.6667  0.3333  0.4051  1 Se 2.28

* size of the total moment: 9.0 μB per cell
* volume: 323.4 Å³/cell



Entry 2
Entry from the Alexandria database: SeNCl2 after structural relaxation (PBE-GGA).

Cell lengths 3.1205, 3.1205, 26.5910 Å; angles 90.00, 90.00, 120.00 degrees
With the nearest neighbours (Å) after each atom.
Element x y z (fractional)
Se  0.0000  0.0000  0.0000  6 Se 3.12, 6 Cl 3.36
Se  0.3333  0.6667  0.6667  6 Se 3.12, 6 Cl 3.36
Se  0.6667  0.3333  0.3333  6 Se 3.12, 6 Cl 3.36
N  0.0000  0.0000  0.5000  2 Cl 1.60
N  0.3333  0.6667  0.1667  2 Cl 1.60
N  0.6667  0.3333  0.8333  2 Cl 1.60
Cl  0.0000  0.0000  0.4398  1 N 1.60
Cl  0.0000  0.0000  0.5602  1 N 1.60
Cl  0.3333  0.6667  0.1065  1 N 1.60
Cl  0.3333  0.6667  0.2269  1 N 1.60
Cl  0.6667  0.3333  0.7731  1 N 1.60
Cl  0.6667  0.3333  0.8935  1 N 1.60

* size of the total moment: 2.1 μB per cell
* volume: 224.2 Å³/cell



Result of the stability comparison: entry 2 is the least stable of them.